1.
{
  "formula": "Ba2YSe",
  "functional": "SCAN",
  "state": "single point on PBEsol structure",
  "space_group": "No. 8",
  "e_form_raw_kj_per_mol_fu": -302,
  "cell": [[13.5134, 0.0000, 0.0000], [0.0000, 3.8898, 0.0000], [-2.3932, 0.0000, 5.5455]],
  "species": ["Ba", "Ba", "Ba", "Ba", "Y", "Y", "Se", "Se"],
  "frac_coords": [[0.0000, 0.0000, 0.0000], [0.1821, 0.0000, 0.6505], [0.5000, 0.5000, 0.0000], [0.6821, 0.5000, 0.6505], [0.3007, 0.5000, 0.2632], [0.8007, 0.0000, 0.2632], [0.4614, 0.0000, 0.4984], [0.9614, 0.5000, 0.4984]]
}



2.
{
  "formula": "BaZnSe",
  "functional": "SCAN",
  "state": "single point on PBEsol structure",
  "space_group": "No. 156",
  "e_form_raw_kj_per_mol_fu": -293,
  "cell": [[4.6483, 0.0000, 0.0000], [-2.3241, 4.0255, 0.0000], [0.0000, 0.0000, 4.6200]],
  "species": ["Ba", "Zn", "Se"],
  "frac_coords": [[0.0000, 0.0000, 0.0000], [0.6667, 0.3333, 0.3806], [0.3333, 0.6667, 0.5698]]
}



3.
{
  "formula": "BaZn2Se",
  "functional": "SCAN",
  "state": "single point on PBEsol structure",
  "space_group": "No. 6",
  "e_form_raw_kj_per_mol_fu": -261,
  "cell": [[3.9963, 0.0000, 0.0000], [0.0000, 3.9944, 0.0000], [-0.0100, 0.0000, 6.3711]],
  "species": ["Ba", "Zn", "Zn", "Se"],
  "frac_coords": [[0.0000, 0.0000, 0.0000], [0.0020, 0.5000, 0.4408], [0.5020, 0.0000, 0.4414], [0.4995, 0.5000, 0.7671]]
}



What are the electronic total energy values for these records? In order: -32.54; -25.39; -22.34 eV per atom.